## BaErHf (PBE)

Data for BaErHf after structural relaxation.

Values from the calculation:
VASP energy = -4.057 eV/atom
Theoretical density = 7.8 g/cm3

Cell: 5.2684 5.2684 5.2684 Å, 60.00 60.00 60.00°
Positions (direct):
Ba 0.0000 0.0000 0.0000
Er 0.2500 0.2500 0.2500
Hf 0.7500 0.7500 0.7500

***

## BaErIn (PBE)

Data for BaErIn after structural relaxation.

Values from the calculation:
VASP energy = -2.896 eV/atom
Theoretical density = 6.4 g/cm3

Cell: 5.3644 5.3644 5.3644 Å, 60.00 60.00 60.00°
Positions (direct):
Er 0.0000 0.0000 0.0000
Ba 0.2500 0.2500 0.2500
In 0.7500 0.7500 0.7500

***

## Ba2ErInTe5 (PBE)

Data for Ba2ErInTe5 after structural relaxation.

Values from the calculation:
VASP energy = -4.277 eV/atom
Theoretical density = 5.9 g/cm3

Cell: 10.4901 10.4901 14.3133 Å, 90.00 90.00 154.83°
Positions (direct):
Te 0.1907 0.8093 0.3670
Er 0.7091 0.2909 0.5181
Te 0.8543 0.1457 0.5010
Ba 0.3798 0.6202 0.6820
In 0.9438 0.0562 0.9344
Te 0.1457 0.8543 0.0010
Te 0.7920 0.2080 0.1595
Ba 0.3687 0.6313 0.3150
Er 0.2909 0.7091 0.0181
Te 0.2080 0.7920 0.6595
Te 0.4487 0.5513 0.0534
Te 0.0042 0.9958 0.7615
Ba 0.6313 0.3687 0.8150
In 0.0562 0.9438 0.4344
Te 0.9958 0.0042 0.2615
Te 0.5513 0.4487 0.5534
Ba 0.6202 0.3798 0.1820
Te 0.8093 0.1907 0.8670

***

## KBaEr (PBE)

Data for KBaEr after structural relaxation.

Values from the calculation:
Theoretical density = 3.0 g/cm3
Offset from the most stable computed form = 0 meV/atom

Cell: 6.4295 6.4295 6.4295 Å, 60.00 60.00 60.00°
Positions (direct):
K 0.7500 0.7500 0.7500
Ba 0.2500 0.2500 0.2500
Er 0.0000 0.0000 0.0000

***

## KBaErS3 (PBE)

Data for KBaErS3 after structural relaxation.

Values from the calculation:
VASP energy = -4.960 eV/atom
Theoretical density = 3.3 g/cm3

Cell: 9.2736 9.2736 11.6766 Å, 90.00 90.00 154.08°
Positions (direct):
S 0.5999 0.4001 0.0006
S 0.9898 0.0102 0.2500
K 0.6176 0.3824 0.2500
Er 0.0000 0.0000 0.0000
S 0.5999 0.4001 0.4994
K 0.3824 0.6176 0.7500
Ba 0.3719 0.6281 0.2500
Ba 0.6281 0.3719 0.7500
S 0.4001 0.5999 0.5006
S 0.0102 0.9898 0.7500
S 0.4001 0.5999 0.9994
Er 0.0000 0.0000 0.5000

***

## Ba2LiEr2 (PBE)

Data for Ba2LiEr2 after structural relaxation.

Values from the calculation:
VASP energy = -2.809 eV/atom
Theoretical density = 5.2 g/cm3

Cell: 4.1624 4.1624 22.7931 Å, 90.00 90.00 90.02°
Positions (direct):
Ba 0.2564 0.7436 0.3495
Ba 0.7436 0.2564 0.6505
Er 0.7512 0.2488 0.0371
Ba 0.7436 0.2564 0.8495
Er 0.7512 0.2488 0.4629
Li 0.7591 0.2409 0.2500
Ba 0.2564 0.7436 0.1505
Li 0.2409 0.7591 0.7500
Er 0.2488 0.7512 0.9629
Er 0.2488 0.7512 0.5371

***

## BaLiErTe3 (PBE)

Data for BaLiErTe3 after structural relaxation.

Values from the calculation:
Theoretical density = 5.7 g/cm3
Offset from the most stable computed form = 14 meV/atom

Cell: 9.2897 4.5201 9.9757 Å, 90.00 105.59 90.00°
Positions (direct):
Er 0.8249 0.7500 0.8441
Ba 0.3004 0.7500 0.7510
Te 0.7247 0.7500 0.5273
Li 0.4147 0.7500 0.4081
Te 0.2753 0.2500 0.4727
Li 0.5853 0.2500 0.5919
Ba 0.6996 0.2500 0.2490
Te 0.3916 0.7500 0.1275
Er 0.1751 0.2500 0.1559
Te 0.6084 0.2500 0.8725
Te 0.0490 0.2500 0.8366
Te 0.9510 0.7500 0.1634

***

## BaLiErTe3 (PBE)

Data for BaLiErTe3 after structural relaxation.

Values from the calculation:
Theoretical density = 6.0 g/cm3
Offset from the most stable computed form = 0 meV/atom

Cell: 7.8161 7.8161 11.4144 Å, 90.00 90.00 146.35°
Positions (direct):
Te 0.3640 0.6360 0.0546
Li 0.4705 0.5295 0.2500
Ba 0.7500 0.2500 0.2500
Te 0.6360 0.3640 0.9454
Te 0.3640 0.6360 0.4454
Te 0.6360 0.3640 0.5546
Er 0.0000 0.0000 0.5000
Te 0.0725 0.9275 0.2500
Te 0.9275 0.0725 0.7500
Ba 0.2500 0.7500 0.7500
Li 0.5295 0.4705 0.7500
Er 0.0000 0.0000 0.0000